# 1
Here is crystalline PdCS2N at its relaxed geometry from Alexandria. Energies are from PBE-GGA.

Summary:
Fermi-level density of states in states/eV per atom: 0.61
Energy relative to the elements, uncorrected in eV/f.u.: 11.24
Polymorph energy (0 for the lowest one) in meV per atom: 1322.1

Unit cell a=4.8560 b=4.8560 c=3.6692 alpha=90.00 beta=90.00 gamma=90.00
Space group P4/mmm (No. 123)
Symmetry-distinct sites (fractional):
Pd1 0.0000 0.0000 0.0000 [1 per cell]
C1 0.5000 0.5000 0.5000 [1 per cell]
S1 0.0000 0.5000 0.0000 [2 per cell]
N1 0.0000 0.0000 0.5000 [1 per cell]

***

# 2
Here is crystalline K2Tl2SnO6 at its relaxed geometry from Alexandria. Energies are from PBE-GGA.

Summary:
Energy relative to the elements, uncorrected in eV/f.u.: -13.55

Unit cell a=5.9054 b=10.0405 c=6.6801 alpha=90.00 beta=108.11 gamma=90.00
Space group C2/m (No. 12)
Symmetry-distinct sites (fractional):
K1 0.0000 0.1718 0.0000 [4 per cell]
Tl1 0.0000 0.3344 0.5000 [4 per cell]
Sn1 0.0000 0.0000 0.5000 [2 per cell]
O1 0.2135 0.1562 0.6834 [8 per cell]
O2 0.2419 0.0000 0.3210 [4 per cell]

***

# 3
Here is crystalline BaNiRu at its relaxed geometry from Alexandria. Energies are from PBE-GGA.

Summary:
Fermi-level density of states in states/eV per atom: 1.07
ΔH_f (0 K) in eV per atom: 0.2274
Polymorph energy (0 for the lowest one) in meV per atom: 50.3

Unit cell a=4.9623 b=4.4432 c=6.1057 alpha=90.00 beta=99.95 gamma=90.00
Space group P2_1/m (No. 11)
Symmetry-distinct sites (fractional):
Ba1 0.2335 0.2500 0.3984 [2 per cell]
Ni1 0.0850 0.2500 0.9157 [2 per cell]
Ru1 0.3855 0.7500 0.9893 [2 per cell]